1.
Compound: CaSiHg2Pd
Source: Alexandria via LeMat-Bulk
Functional: PBE
Structure: optimized geometry

ΔE_f (raw)	0.247	eV per atom

Cell: 5.1820 5.2456 5.1820 Å, 90.00 90.00 90.00°
Atoms (fractional coordinates):
Hg: 0.5000 0.0000 0.0000
Pd: 0.0000 0.0000 0.0000
Hg: 0.0000 0.0000 0.5000
Si: 0.5000 0.5000 0.5000
Ca: 0.0000 0.5000 0.0000

---

2.
Compound: TlInHg6
Source: Alexandria via LeMat-Bulk
Functional: PBE
Structure: optimized geometry

calculated formation energy	-0.0156	eV per atom
distance to the lowest polymorph of the same formula	0.0	meV per atom

Cell: 5.0221 6.6666 6.6666 Å, 86.15 90.00 90.00°
Atoms (fractional coordinates):
In: 0.5000 0.5000 0.5000
Hg: 0.5000 0.0000 0.5000
Hg: 0.0000 0.2544 0.7456
Hg: 0.5000 0.5000 0.0000
Hg: 0.0000 0.7456 0.2544
Hg: 0.0000 0.7476 0.7476
Hg: 0.0000 0.2524 0.2524
Tl: 0.5000 0.0000 0.0000

---

3.
Compound: Pa7GaTc3
Source: Alexandria via LeMat-Bulk
Functional: PBE
Structure: optimized geometry

calculated formation energy	-0.0681	eV per atom

Cell: 5.3669 7.3082 7.3082 Å, 82.04 111.46 111.46°
Atoms (fractional coordinates):
Pa: 0.8173 0.8175 0.8175
Pa: 0.1827 0.1825 0.1825
Tc: 0.0000 0.2232 0.7768
Pa: 0.3297 0.0588 0.6000
Pa: 0.0000 0.5000 0.5000
Tc: 0.0000 0.7768 0.2232
Tc: 0.5000 0.0000 0.0000
Ga: 0.5000 0.5000 0.5000
Pa: 0.3297 0.6000 0.0588
Pa: 0.6703 0.4000 0.9412
Pa: 0.6703 0.9412 0.4000

---

4.
Compound: TcB2Pd
Source: Alexandria via LeMat-Bulk
Functional: PBE
Structure: optimized geometry

calculated formation energy	0.2717	eV per atom
distance to the lowest polymorph of the same formula	0.0	meV per atom

Cell: 3.8749 3.8749 3.8749 Å, 60.00 60.00 60.00°
Atoms (fractional coordinates):
Tc: 0.0000 0.0000 0.0000
Pd: 0.5000 0.5000 0.5000
B: 0.2500 0.2500 0.2500
B: 0.7500 0.7500 0.7500